The following is a PBE-GGA calculation of a geometry-optimized Zn2Ga5Ag6 structure, from Alexandria.

Lattice parameters (Å, degrees): 8.4702 17.3576 3.1021 90.00 90.00 90.00
Closest atoms and distances in Å follow each position.
Atoms (fractional coordinates):
Zn (0.1654, 0.2368, 0.0000)  4 Ga 2.62-2.65, 4 Ag 2.72-2.82
Zn (0.3346, 0.7368, 0.0000)  4 Ga 2.62-2.65, 4 Ag 2.72-2.82
Zn (0.6654, 0.2632, 0.0000)  4 Ga 2.62-2.65, 4 Ag 2.72-2.82
Zn (0.8346, 0.7632, 0.0000)  4 Ga 2.62-2.65, 4 Ag 2.72-2.82
Ga (0.0000, 0.5000, 0.5000)  6 Ag 2.71-2.79, 2 Ga 2.73
Ga (0.0838, 0.7566, 0.5000)  4 Zn 2.62-2.65, 5 Ag 2.81-2.92
Ga (0.1790, 0.0164, 0.5000)  1 Ga 2.73, 7 Ag 2.75-2.95
Ga (0.3210, 0.5164, 0.5000)  1 Ga 2.73, 7 Ag 2.75-2.95
Ga (0.4162, 0.2566, 0.5000)  4 Zn 2.62-2.65, 5 Ag 2.81-2.92
Ga (0.5000, 0.0000, 0.5000)  6 Ag 2.71-2.79, 2 Ga 2.73
Ga (0.5838, 0.7434, 0.5000)  4 Zn 2.62-2.65, 5 Ag 2.81-2.92
Ga (0.6790, 0.4836, 0.5000)  1 Ga 2.73, 7 Ag 2.75-2.95
Ga (0.8210, 0.9836, 0.5000)  1 Ga 2.73, 7 Ag 2.75-2.95
Ga (0.9162, 0.2434, 0.5000)  4 Zn 2.62-2.65, 5 Ag 2.81-2.92
Ag (0.0178, 0.8951, 0.0000)  6 Ga 2.75-2.95, 1 Zn 2.77, 2 Ag 2.99
Ag (0.1210, 0.6200, 0.0000)  1 Zn 2.72, 6 Ga 2.79-2.92, 2 Ag 3.01
Ag (0.1838, 0.3721, 0.5000)  3 Ga 2.71-2.81, 2 Zn 2.82, 4 Ag 2.99-3.01
Ag (0.3162, 0.8721, 0.5000)  3 Ga 2.71-2.81, 2 Zn 2.82, 4 Ag 2.99-3.01
Ag (0.3790, 0.1200, 0.0000)  1 Zn 2.72, 6 Ga 2.79-2.92, 2 Ag 3.01
Ag (0.4822, 0.3951, 0.0000)  6 Ga 2.75-2.95, 1 Zn 2.77, 2 Ag 2.99
Ag (0.5178, 0.6049, 0.0000)  6 Ga 2.75-2.95, 1 Zn 2.77, 2 Ag 2.99
Ag (0.6210, 0.8800, 0.0000)  1 Zn 2.72, 6 Ga 2.79-2.92, 2 Ag 3.01
Ag (0.6838, 0.1279, 0.5000)  3 Ga 2.71-2.81, 2 Zn 2.82, 4 Ag 2.99-3.01
Ag (0.8162, 0.6279, 0.5000)  3 Ga 2.71-2.81, 2 Zn 2.82, 4 Ag 2.99-3.01
Ag (0.8790, 0.3800, 0.0000)  1 Zn 2.72, 6 Ga 2.79-2.92, 2 Ag 3.01
Ag (0.9822, 0.1049, 0.0000)  6 Ga 2.75-2.95, 1 Zn 2.77, 2 Ag 2.99

Summary:
N(E_F)	5.361	states/eV per cell
calculated volume	17.5	A^3/atom
space-group type	Pbam
ΔH_f (0 K)	0.01	eV/atom


The following is a PBE-GGA calculation of a geometry-optimized Zn3GaAg structure, from Alexandria.

Lattice parameters (Å, degrees): 6.3658 6.3658 5.5280 90.00 90.00 120.00
Closest atoms and distances in Å follow each position.
Atoms (fractional coordinates):
Zn (0.2012, 0.4024, 0.2500)  2 Zn 2.52, 2 Ag 2.61
Zn (0.2012, 0.7988, 0.2500)  2 Zn 2.52, 2 Ag 2.61
Zn (0.4024, 0.2012, 0.7500)  2 Zn 2.52, 2 Ag 2.61
Zn (0.5976, 0.7988, 0.2500)  2 Zn 2.52, 2 Ag 2.61
Zn (0.7988, 0.2012, 0.7500)  2 Zn 2.52, 2 Ag 2.61
Zn (0.7988, 0.5976, 0.7500)  2 Zn 2.52, 2 Ag 2.61
Ga (0.3333, 0.6667, 0.7500)  12 Zn 3.12-3.21
Ga (0.6667, 0.3333, 0.2500)  12 Zn 3.12-3.21
Ag (0.0000, 0.0000, 0.0000)  6 Zn 2.61, 2 Ag 2.76
Ag (0.0000, 0.0000, 0.5000)  6 Zn 2.61, 2 Ag 2.76

Summary:
N(E_F)	2.838	states/eV per cell
calculated volume	19.4	A^3/atom
space-group type	P6_3/mmc
distance to the lowest polymorph of the same formula	170.3	meV per atom
ΔH_f (0 K)	0.19	eV/atom


The following is a PBE-GGA calculation of a geometry-optimized Zn5GaAg structure, from Alexandria.

Lattice parameters (Å, degrees): 6.2908 6.2908 9.5285 117.07 117.07 46.93
Closest atoms and distances in Å follow each position.
Atoms (fractional coordinates):
Zn (0.2389, 0.2469, 0.5555)  4 Zn 2.57-2.79, 1 Ga 2.58, 1 Ag 2.87
Zn (0.2410, 0.7590, 0.7500)  2 Ag 2.48-2.53, 2 Ga 2.67
Zn (0.2469, 0.2389, 0.0555)  4 Zn 2.57-2.79, 1 Ga 2.58, 1 Ag 2.87
Zn (0.3410, 0.3566, 0.8737)  3 Zn 2.57-2.84, 1 Ag 2.82
Zn (0.3566, 0.3410, 0.3737)  3 Zn 2.57-2.84, 1 Ag 2.82
Zn (0.6434, 0.6590, 0.6263)  3 Zn 2.57-2.84, 1 Ag 2.82
Zn (0.6590, 0.6434, 0.1263)  3 Zn 2.57-2.84, 1 Ag 2.82
Zn (0.7531, 0.7611, 0.9445)  4 Zn 2.57-2.79, 1 Ga 2.58, 1 Ag 2.87
Zn (0.7590, 0.2410, 0.2500)  2 Ag 2.48-2.53, 2 Ga 2.67
Zn (0.7611, 0.7531, 0.4445)  4 Zn 2.57-2.79, 1 Ga 2.58, 1 Ag 2.87
Ga (0.0000, 0.0000, 0.0000)  4 Zn 2.58-2.67, 2 Ag 2.72
Ga (0.0000, 0.0000, 0.5000)  4 Zn 2.58-2.67, 2 Ag 2.72
Ag (0.2638, 0.7362, 0.2500)  2 Zn 2.48-2.53, 2 Ga 2.72
Ag (0.7362, 0.2638, 0.7500)  2 Zn 2.48-2.53, 2 Ga 2.72

Summary:
N(E_F)	5.088	states/eV per cell
calculated volume	17.1	A^3/atom
space-group type	C2/c
distance to the lowest polymorph of the same formula	45.4	meV per atom
ΔH_f (0 K)	0.10	eV/atom


The following is a PBE-GGA calculation of a geometry-optimized Zn2Ga3Ag5 structure, from Alexandria.

Lattice parameters (Å, degrees): 7.9933 7.9933 5.6695 91.16 91.16 105.37
Closest atoms and distances in Å follow each position.
Atoms (fractional coordinates):
Zn (0.1221, 0.6293, 0.6143)  2 Zn 2.72-2.82, 5 Ag 2.85-3.00
Zn (0.3707, 0.8779, 0.8857)  2 Zn 2.72-2.82, 5 Ag 2.85-3.00
Zn (0.6293, 0.1221, 0.1143)  2 Zn 2.72-2.82, 5 Ag 2.85-3.00
Zn (0.8779, 0.3707, 0.3857)  2 Zn 2.72-2.82, 5 Ag 2.85-3.00
Ga (0.0116, 0.7355, 0.1277)  6 Ag 2.60-2.83, 1 Ga 2.78
Ga (0.2645, 0.9884, 0.3723)  6 Ag 2.60-2.83, 1 Ga 2.78
Ga (0.4615, 0.5385, 0.7500)  8 Ag 2.69-2.98, 2 Ga 3.00
Ga (0.5385, 0.4615, 0.2500)  8 Ag 2.69-2.98, 2 Ga 3.00
Ga (0.7355, 0.0116, 0.6277)  6 Ag 2.60-2.83, 1 Ga 2.78
Ga (0.9884, 0.2645, 0.8723)  6 Ag 2.60-2.83, 1 Ga 2.78
Ag (0.0513, 0.9487, 0.7500)  4 Ga 2.73-2.78, 2 Ag 2.84, 2 Zn 2.85
Ag (0.2079, 0.3135, 0.4960)  4 Ga 2.69-2.98, 3 Ag 2.84-2.96, 2 Zn 2.85-2.86
Ag (0.2203, 0.5363, 0.0986)  4 Ga 2.60-2.88, 2 Ag 2.87-2.89
Ag (0.3135, 0.2079, 0.9960)  4 Ga 2.69-2.98, 3 Ag 2.84-2.96, 2 Zn 2.85-2.86
Ag (0.4637, 0.7797, 0.4014)  4 Ga 2.60-2.88, 2 Ag 2.87-2.89
Ag (0.5363, 0.2203, 0.5986)  4 Ga 2.60-2.88, 2 Ag 2.87-2.89
Ag (0.6865, 0.7921, 0.0040)  4 Ga 2.69-2.98, 3 Ag 2.84-2.96, 2 Zn 2.85-2.86
Ag (0.7797, 0.4637, 0.9014)  4 Ga 2.60-2.88, 2 Ag 2.87-2.89
Ag (0.7921, 0.6865, 0.5040)  4 Ga 2.69-2.98, 3 Ag 2.84-2.96, 2 Zn 2.85-2.86
Ag (0.9487, 0.0513, 0.2500)  4 Ga 2.73-2.78, 2 Ag 2.84, 2 Zn 2.85

Summary:
N(E_F)	4.143	states/eV per cell
calculated volume	17.5	A^3/atom
space-group type	C2/c
distance to the lowest polymorph of the same formula	0.0	meV per atom
ΔH_f (0 K)	0.04	eV/atom


The following is a PBE-GGA calculation of a geometry-optimized ZnGa2Ag2 structure, from Alexandria.

Lattice parameters (Å, degrees): 3.8750 3.8750 12.8469 90.00 90.00 90.00
Closest atoms and distances in Å follow each position.
Atoms (fractional coordinates):
Zn (0.0000, 0.0000, 0.0000)  8 Ga 3.01
Zn (0.5000, 0.5000, 0.5000)  8 Ga 3.01
Ga (0.0000, 0.0000, 0.4036)  1 Ga 2.48, 4 Ag 2.77
Ga (0.0000, 0.0000, 0.5964)  1 Ga 2.48, 4 Ag 2.77
Ga (0.5000, 0.5000, 0.0964)  1 Ga 2.48, 4 Ag 2.77
Ga (0.5000, 0.5000, 0.9036)  1 Ga 2.48, 4 Ag 2.77
Ag (0.0000, 0.5000, 0.2500)  4 Ag 2.74, 4 Ga 2.77
Ag (0.0000, 0.5000, 0.7500)  4 Ag 2.74, 4 Ga 2.77
Ag (0.5000, 0.0000, 0.2500)  4 Ag 2.74, 4 Ga 2.77
Ag (0.5000, 0.0000, 0.7500)  4 Ag 2.74, 4 Ga 2.77

Summary:
N(E_F)	2.988	states/eV per cell
calculated volume	19.3	A^3/atom
space-group type	I4/mmm
distance to the lowest polymorph of the same formula	120.6	meV per atom
ΔH_f (0 K)	0.16	eV/atom


The following is a PBE-GGA calculation of a geometry-optimized Zn12GaAg3 structure, from Alexandria.

Lattice parameters (Å, degrees): 3.9400 3.9400 16.1536 90.00 90.00 90.00
Closest atoms and distances in Å follow each position.
Atoms (fractional coordinates):
Zn (0.0000, 0.0000, 0.0000)  4 Ag 2.79, 8 Zn 2.82
Zn (0.0000, 0.0000, 0.2481)  4 Ag 2.79, 8 Zn 2.80-2.84
Zn (0.0000, 0.0000, 0.5000)  4 Ga 2.79, 8 Zn 2.83
Zn (0.0000, 0.0000, 0.7519)  4 Ag 2.79, 8 Zn 2.80-2.84
Zn (0.0000, 0.5000, 0.1247)  8 Zn 2.79-2.82, 4 Ag 2.82
Zn (0.0000, 0.5000, 0.3743)  8 Zn 2.79-2.84, 2 Ag 2.82, 2 Ga 2.83
Zn (0.0000, 0.5000, 0.6257)  8 Zn 2.79-2.84, 2 Ag 2.82, 2 Ga 2.83
Zn (0.0000, 0.5000, 0.8753)  8 Zn 2.79-2.82, 4 Ag 2.82
Zn (0.5000, 0.0000, 0.1247)  8 Zn 2.79-2.82, 4 Ag 2.82
Zn (0.5000, 0.0000, 0.3743)  8 Zn 2.79-2.84, 2 Ag 2.82, 2 Ga 2.83
Zn (0.5000, 0.0000, 0.6257)  8 Zn 2.79-2.84, 2 Ag 2.82, 2 Ga 2.83
Zn (0.5000, 0.0000, 0.8753)  8 Zn 2.79-2.82, 4 Ag 2.82
Ga (0.5000, 0.5000, 0.5000)  12 Zn 2.79-2.83
Ag (0.5000, 0.5000, 0.0000)  12 Zn 2.79-2.82
Ag (0.5000, 0.5000, 0.2492)  12 Zn 2.79-2.82
Ag (0.5000, 0.5000, 0.7508)  12 Zn 2.79-2.82

Summary:
N(E_F)	3.183	states/eV per cell
calculated volume	15.7	A^3/atom
space-group type	P4/mmm
ΔH_f (0 K)	0.01	eV/atom


Number 4 is which compound?
Zn2Ga3Ag5


calculated volume of number 1 (Zn2Ga5Ag6)?
17.5 A^3/atom